{"formula": "Er2B3C4", "functional": "PBE", "state": "relaxed", "formation_energy_ev_per_fu": 3.913, "total_energy_ev_per_atom": -6.905, "cell": [[-0.370, -4.472, 0.353], [6.028, -0.178, 4.057], [-2.970, 2.869, 4.540]], "species": ["Er", "Er", "Er", "Er", "C", "C", "C", "C", "C", "C", "C", "C", "B", "B", "B", "B", "B", "B"], "fractional_positions": [[0.625, 0.921, 0.250], [0.375, 0.079, 0.750], [0.125, 0.579, 0.250], [0.875, 0.421, 0.750], [0.263, 0.343, 0.526], [0.703, 0.750, 0.906], [0.737, 0.657, 0.474], [0.237, 0.843, 0.474], [0.297, 0.250, 0.094], [0.203, 0.750, 0.906], [0.797, 0.250, 0.094], [0.763, 0.157, 0.526], [0.060, 0.750, 0.619], [0.500, 0.500, 0.000], [0.440, 0.250, 0.381], [0.560, 0.750, 0.619], [0.940, 0.250, 0.381], [0.000, 0.000, 0.000]]}